Model w:
## Ba3Bi2O7 (PBE)

Data for Ba3Bi2O7 after structural relaxation.

Cell and atoms, written as extended XYZ:
```
12
Lattice="-2.220 2.220 11.196 2.220 -2.220 11.196 2.220 2.220 -11.196" Properties=species:S:1:pos:R:3 pbc="T T T"
Ba 0.000 0.000 0.000
Ba 0.000 0.000 4.154
Ba 0.000 0.000 18.237
Bi 0.000 0.000 8.947
Bi 0.000 0.000 13.444
O 2.220 0.000 2.223
O 0.000 0.000 6.731
O 2.220 0.000 8.973
O 0.000 0.000 11.196
O 0.000 2.220 2.223
O 0.000 0.000 15.660
O 0.000 2.220 8.973
```

Computed properties:
Fermi-level density of states: 1.92 states/eV per cell

Model x:
## Ba3Bi2O7 (PBE)

Data for Ba3Bi2O7 after structural relaxation.

Cell and atoms, written as extended XYZ:
```
12
Lattice="2.233 -11.596 0.000 2.233 11.596 0.000 0.000 0.000 4.358" Properties=species:S:1:pos:R:3 pbc="T T T"
Ba 0.000 0.000 0.000
Ba 2.233 7.450 0.000
Ba 2.233 -7.450 0.000
Bi 2.233 2.274 2.179
Bi 2.233 -2.274 2.179
O 2.233 9.352 2.179
O 2.233 4.459 2.179
O 2.233 2.266 0.000
O 2.233 0.000 2.179
O 2.233 -2.266 0.000
O 2.233 -4.459 2.179
O 2.233 -9.352 2.179
```

Computed properties:
Fermi-level density of states: 1.99 states/eV per cell

Of them, the most stable is model w and the least stable is model x.

Model w:
## BaBi2O5 (PBE)

Data for BaBi2O5 after structural relaxation.

Cell and atoms, written as extended XYZ:
```
8
Lattice="4.187 0.000 0.000 0.000 4.187 0.000 0.000 0.000 9.473" Properties=species:S:1:pos:R:3 pbc="T T T"
Ba 0.000 0.000 0.000
Bi 2.093 2.093 2.632
Bi 2.093 2.093 6.841
O 0.000 2.093 1.812
O 0.000 2.093 7.662
O 2.093 0.000 1.812
O 2.093 0.000 7.662
O 2.093 2.093 4.737
```

Computed properties:
Fermi-level density of states: 2.91 states/eV per cell

Model x:
## BaBi2O5 (PBE)

Data for BaBi2O5 after structural relaxation.

Cell and atoms, written as extended XYZ:
```
16
Lattice="-3.259 3.259 6.072 3.259 -3.259 6.072 3.259 3.259 -6.072" Properties=species:S:1:pos:R:3 pbc="T T T"
Ba 0.000 0.000 3.036
Ba 0.000 0.000 9.109
Bi 4.390 1.131 0.000
Bi 1.131 2.128 0.000
Bi 2.128 1.131 6.072
Bi -1.131 2.128 6.072
O 0.000 0.000 0.000
O 2.292 0.967 -1.455
O 2.292 -0.967 4.618
O 2.292 0.967 1.455
O 2.292 -0.967 7.527
O 0.000 0.000 6.072
O 0.967 4.227 -1.455
O 0.967 2.292 4.618
O 0.967 4.227 1.455
O 0.967 2.292 7.527
```

Computed properties:
Fermi-level density of states: 6.47 states/eV per cell

Of them, the most stable is model w and the least stable is model x.

Model w:
## Ba2BiO3 (PBE)

Data for Ba2BiO3 after structural relaxation.

Cell and atoms, written as extended XYZ:
```
6
Lattice="-1.906 2.297 7.174 1.906 -2.297 7.174 1.906 2.297 -7.174" Properties=species:S:1:pos:R:3 pbc="T T T"
Ba 0.000 0.000 2.182
Ba 0.000 0.000 12.166
Bi 0.000 0.000 7.174
O 1.906 0.000 0.000
O 0.000 0.000 4.778
O 0.000 0.000 9.570
```

Computed properties:
Fermi-level density of states: 0.83 states/eV per cell

Model x:
## Ba2BiO3 (PBE)

Data for Ba2BiO3 after structural relaxation.

Cell and atoms, written as extended XYZ:
```
12
Lattice="6.545 0.000 0.000 -3.273 5.668 0.000 0.000 0.000 7.185" Properties=species:S:1:pos:R:3 pbc="T T T"
Ba 0.000 3.779 0.000
Ba 0.000 3.779 3.592
Ba 3.273 1.889 0.000
Ba 3.273 1.889 3.592
Bi 0.000 0.000 1.796
Bi 0.000 0.000 5.389
O -1.169 2.024 1.796
O -2.104 3.644 5.389
O 2.338 0.000 1.796
O 1.169 2.024 5.389
O 4.208 0.000 5.389
O 2.104 3.644 1.796
```

Computed properties:
Fermi-level density of states: 2.83 states/eV per cell

Of them, the most stable is model w and the least stable is model x.

Model w:
## BaBiP2O (PBE)

Data for BaBiP2O after structural relaxation.

Cell and atoms, written as extended XYZ:
```
5
Lattice="5.361 0.000 0.000 0.000 5.361 0.000 0.000 0.000 4.480" Properties=species:S:1:pos:R:3 pbc="T T T"
Ba 0.000 0.000 0.000
Bi 2.681 2.681 2.240
P 0.000 2.681 2.240
P 2.681 0.000 2.240
O 2.681 2.681 0.000
```

Computed properties:
Fermi-level density of states: 5.28 states/eV per cell

Model x:
## BaBiP2O (PBE)

Data for BaBiP2O after structural relaxation.

Cell and atoms, written as extended XYZ:
```
5
Lattice="5.777 0.000 0.000 0.000 5.777 0.000 0.000 0.000 4.351" Properties=species:S:1:pos:R:3 pbc="T T T"
Ba 0.000 0.000 0.000
Bi 2.888 2.888 2.175
P 0.000 2.888 0.000
P 2.888 0.000 0.000
O 0.000 0.000 2.175
```

Computed properties:
Fermi-level density of states: 2.75 states/eV per cell

Of them, the most stable is model w and the least stable is model x.

Model w:
## Ba4BiPb3O12 (PBE)

Data for Ba4BiPb3O12 after structural relaxation.

Cell and atoms, written as extended XYZ:
```
20
Lattice="4.365 0.000 0.000 0.000 4.365 0.000 0.000 0.000 17.534" Properties=species:S:1:pos:R:3 pbc="T T T"
Ba 0.000 0.000 2.152
Ba 0.000 0.000 6.479
Ba 0.000 0.000 11.055
Ba 0.000 0.000 15.382
Bi 2.183 2.183 8.767
Pb 2.183 2.183 0.000
Pb 2.183 2.183 4.373
Pb 2.183 2.183 13.161
O 0.000 2.183 0.000
O 0.000 2.183 4.463
O 0.000 2.183 8.767
O 0.000 2.183 13.071
O 2.183 0.000 0.000
O 2.183 0.000 4.463
O 2.183 0.000 8.767
O 2.183 0.000 13.071
O 2.183 2.183 2.215
O 2.183 2.183 6.603
O 2.183 2.183 10.931
O 2.183 2.183 15.319
```

Computed properties:
Fermi-level density of states: 2.01 states/eV per cell

Model x:
## Ba4BiPb3O12 (PBE)

Data for Ba4BiPb3O12 after structural relaxation.

Cell and atoms, written as extended XYZ:
```
20
Lattice="6.217 0.000 0.000 0.000 6.161 0.000 -0.007 0.000 8.700" Properties=species:S:1:pos:R:3 pbc="T T T"
Ba 0.027 0.000 2.204
Ba 3.063 3.080 2.205
Ba 3.147 3.080 6.495
Ba 6.183 0.000 6.497
Bi 0.000 3.080 0.000
Pb -0.004 3.080 4.350
Pb 3.109 0.000 0.000
Pb 3.105 0.000 4.350
O 0.406 3.080 6.553
O 1.531 1.556 0.324
O 1.531 4.605 0.324
O 1.546 1.544 4.036
O 1.546 4.616 4.036
O 2.702 0.000 6.530
O 3.509 0.000 2.170
O 4.664 1.544 4.665
O 4.664 4.616 4.665
O 4.679 1.556 8.377
O 4.679 4.605 8.377
O 5.804 3.080 2.147
```

Computed properties:
Fermi-level density of states: 1.42 states/eV per cell

Model y:
## Ba4BiPb3O12 (PBE)

Data for Ba4BiPb3O12 after structural relaxation.

Cell and atoms, written as extended XYZ:
```
20
Lattice="-4.371 4.371 4.371 4.371 -4.371 4.371 4.371 4.371 -4.371" Properties=species:S:1:pos:R:3 pbc="T T T"
Ba 2.185 2.185 -2.185
Ba 2.185 -2.185 2.185
Ba -2.185 2.185 2.185
Ba 2.185 2.185 2.185
Bi 0.000 0.000 0.000
Pb 4.371 0.000 0.000
Pb 0.000 4.371 0.000
Pb 0.000 0.000 4.371
O 2.158 0.000 0.000
O 6.583 0.000 0.000
O 0.000 2.158 0.000
O 0.000 0.000 2.158
O 4.371 2.185 0.000
O 4.371 0.000 2.185
O 2.185 4.371 0.000
O 2.185 0.000 4.371
O 0.000 4.371 2.185
O 0.000 2.185 4.371
O 0.000 6.583 0.000
O 0.000 0.000 6.583
```

Computed properties:
Fermi-level density of states: 2.65 states/eV per cell

Of them, the most stable is model x and the least stable is model w.

Model w:
## Ba3BiRu2O9 (PBE)

Data for Ba3BiRu2O9 after structural relaxation.

Cell and atoms, written as extended XYZ:
```
30
Lattice="3.016 -5.204 0.000 3.016 5.204 0.000 -0.521 0.000 14.846" Properties=species:S:1:pos:R:3 pbc="T T T"
Ba 2.626 5.147 11.134
Ba 2.771 1.725 6.009
Ba 3.002 1.725 1.414
Ba 2.510 -1.725 13.432
Ba 2.741 -1.725 8.837
Ba 2.886 -5.147 3.711
Bi 0.000 0.000 0.000
Bi -0.260 0.000 7.423
Ru 2.491 1.727 12.382
Ru 2.760 1.727 9.887
Ru 2.751 -1.727 4.959
Ru 3.021 -1.727 2.464
O 1.225 2.490 10.958
O 2.300 3.410 13.417
O 0.918 0.968 13.329
O 2.951 3.410 8.852
O 1.565 0.969 8.508
O 1.178 -0.968 5.906
O 1.825 -0.969 1.085
O 2.626 0.091 11.134
O 4.026 2.490 11.311
O 1.485 -2.490 3.535
O 2.886 -0.091 3.711
O 3.687 0.969 13.761
O 4.333 0.968 8.940
O 3.947 -0.969 6.338
O 2.561 -3.410 5.994
O 4.594 -0.968 1.517
O 3.212 -3.410 1.429
O 4.287 -2.490 3.888
```

Computed properties:
Fermi-level density of states: 11.76 states/eV per cell

Model x:
## Ba3BiRu2O9 (PBE)

Data for Ba3BiRu2O9 after structural relaxation.

Cell and atoms, written as extended XYZ:
```
15
Lattice="5.939 0.000 0.000 -2.970 5.143 0.000 0.000 0.000 7.363" Properties=species:S:1:pos:R:3 pbc="T T T"
Ba 0.000 0.000 0.000
Ba 0.000 3.429 5.006
Ba 2.970 1.714 2.357
Bi 0.000 0.000 3.682
Ru 0.000 3.429 1.156
Ru 2.970 1.714 6.207
O -1.485 2.572 0.000
O 0.000 1.828 2.305
O -1.386 4.229 2.305
O 1.583 0.914 5.058
O 2.970 0.000 0.000
O 1.485 2.572 0.000
O 1.386 4.229 2.305
O 4.356 0.914 5.058
O 2.970 3.315 5.058
```

Computed properties:
Fermi-level density of states: 4.65 states/eV per cell

Of them, the most stable is model w and the least stable is model x.